The following is a DFT calculation (meta-GGA SCAN) of a crystal of SrSc2Cr relaxed with PBEsol.

It has space group Immm (No. 71), with a = 3.458 Å, b = 5.429 Å, c = 10.649 Å, α = 90.00°, β = 90.00° and γ = 90.00°. The inequivalent atoms are Sr at (0.000, 0.000, 0.000), Sc at (0.000, 0.500, 0.209) and Cr at (0.000, 0.000, 0.500).

For the energy, the calculation gives -16.9763 eV per atom. Its crystal system is orthorhombic. The calculation puts the distance to the lowest polymorph of the same formula at 77.5 meV per atom. The value obtained for the density of states at the Fermi level is 1.020 states/eV/atom.

The following is a DFT calculation (meta-GGA SCAN) of a crystal of ReMo2WN relaxed with PBEsol.

It has space group P4/mmm (No. 123), with a = 4.820 Å, b = 4.820 Å, c = 3.645 Å, α = 90.00°, β = 90.00° and γ = 90.00°. The inequivalent atoms are Re at (0.000, 0.000, 0.000), Mo at (0.000, 0.500, 0.000), W at (0.500, 0.500, 0.500) and N at (0.000, 0.000, 0.500).

For the energy, the calculation gives -42.1829 eV per atom. Its formation energy from raw total energies is 1.787 eV/atom. Its crystal system is tetragonal. The value obtained for the density of states at the Fermi level is 1.037 states/eV/atom.

The following is a DFT calculation (meta-GGA SCAN) of a crystal of LuGaNi relaxed with PBEsol.

It has space group Pnma (No. 62), with a = 6.550 Å, b = 4.152 Å, c = 7.213 Å, α = 90.00°, β = 90.00° and γ = 90.00°. The inequivalent atoms are Lu at (0.020, 0.250, 0.191), Ga at (0.168, 0.250, 0.572) and Ni at (0.220, 0.750, 0.397).

For the energy, the calculation gives -30.0422 eV per atom. Its crystal system is orthorhombic. The value obtained for the density of states at the Fermi level is 0.506 states/eV/atom.

The following is a DFT calculation (meta-GGA SCAN) of a crystal of AlFe2As relaxed with PBEsol.

It has space group Pm (No. 6), with a = 2.760 Å, b = 4.218 Å, c = 4.601 Å, α = 90.00°, β = 107.63° and γ = 90.00°. The inequivalent atoms are Al at (0.000, 0.000, 0.000), Fe at (0.363, 0.500, 0.719), Fe at (0.744, 0.000, 0.480) and As at (0.638, 0.500, 0.273).

For the energy, the calculation gives -16.0308 eV per atom. Its crystal system is monoclinic. The calculation puts the distance to the lowest polymorph of the same formula at 5.1 meV per atom. The value obtained for the density of states at the Fermi level is 0.540 states/eV/atom.

The following is a DFT calculation (meta-GGA SCAN) of a crystal of La2ReAg relaxed with PBEsol.

It has space group P4mm (No. 99), with a = 3.653 Å, b = 3.653 Å, c = 7.610 Å, α = 90.00°, β = 90.00° and γ = 90.00°. The inequivalent atoms are La at (0.000, 0.000, 0.000), La at (0.500, 0.500, 0.405), Re at (0.000, 0.000, 0.647) and Ag at (0.500, 0.500, 0.788).

For the energy, the calculation gives -46.7405 eV per atom. Its crystal system is tetragonal. The calculation puts the distance to the lowest polymorph of the same formula at 399.6 meV per atom. The value obtained for the density of states at the Fermi level is 0.666 states/eV/atom.

The following is a DFT calculation (meta-GGA SCAN) of a crystal of TaZnIn relaxed with PBEsol.

It has space group I4mm (No. 107), with a = 2.890 Å, b = 2.890 Å, c = 12.728 Å, α = 90.00°, β = 90.00° and γ = 90.00°. The inequivalent atoms are Ta at (0.000, 0.000, 0.000), Zn at (0.000, 0.000, 0.349) and In at (0.000, 0.000, 0.677).

For the energy, the calculation gives -37.6710 eV per atom. Its crystal system is tetragonal. The value obtained for the density of states at the Fermi level is 0.333 states/eV/atom.

The following is a DFT calculation (meta-GGA SCAN) of a crystal of TaMnNi6 relaxed with PBEsol.

It has space group Cmmm (No. 65), with a = 7.127 Å, b = 10.110 Å, c = 10.106 Å, α = 90.00°, β = 90.00° and γ = 90.00°. The inequivalent atoms are Ta at (0.000, 0.000, 0.245), Ta at (0.000, 0.248, 0.500), Mn at (0.000, 0.247, 0.000), Mn at (0.000, 0.500, 0.244), Ni at (0.000, 0.000, 0.000), Ni at (0.000, 0.000, 0.500), Ni at (0.000, 0.251, 0.249), Ni at (0.000, 0.500, 0.000), Ni at (0.000, 0.500, 0.500), Ni at (0.247, 0.376, 0.374) and Ni at (0.248, 0.374, 0.124).

For the energy, the calculation gives -23.0250 eV per atom. Its crystal system is orthorhombic. The value obtained for the density of states at the Fermi level is 0.500 states/eV/atom.

The following is a DFT calculation (meta-GGA SCAN) of a crystal of ZnAgW2 relaxed with PBEsol.

It has space group P2/m (No. 10), with a = 2.674 Å, b = 4.345 Å, c = 5.283 Å, α = 90.00°, β = 96.35° and γ = 90.00°. The inequivalent atoms are Zn at (0.000, 0.000, 0.000), Ag at (0.000, 0.000, 0.500) and W at (0.472, 0.500, 0.242).

For the energy, the calculation gives -45.5742 eV per atom. Its crystal system is monoclinic. The value obtained for the density of states at the Fermi level is 0.243 states/eV/atom.